[1]
A plane-wave DFT calculation with PBE-GGA was carried out for crystalline La2PmDy3Bi6 at its relaxed geometry.

Cell lengths 19.9050, 4.5767, 9.1333 Å; angles 90.00, 103.07, 90.00 degrees
Space group C2/m (No. 12)
One atom of each set of equivalent atoms:
La  0.1659  0.0000  0.3319
Pm  0.0000  0.5000  0.0000
Dy  0.0000  0.5000  0.5000
Dy  0.1672  0.0000  0.8336
Bi  0.0034  0.0000  0.7473
Bi  0.1639  0.5000  0.5902
Bi  0.1678  0.5000  0.0746

Summary:
E_tot ... -5.243 eV per atom
Crystal system ... monoclinic
Total magnetization ... 0.00 μB/f.u.
N(E_F) ... 4.25 states/eV per cell



[2]
A plane-wave DFT calculation with PBE-GGA was carried out for crystalline HfTaNbIn at its relaxed geometry.

Cell lengths 6.8143, 6.8143, 6.8143 Å; angles 90.00, 90.00, 90.00 degrees
Space group F-43m (No. 216)
One atom of each set of equivalent atoms:
Hf  0.0000  0.0000  0.0000
Ta  0.2500  0.2500  0.7500
Nb  0.0000  0.0000  0.5000
In  0.2500  0.2500  0.2500

Summary:
E_tot ... -8.589 eV per atom
Crystal system ... cubic
Total magnetization ... 0.00 μB/f.u.
N(E_F) ... 19.47 states/eV per cell



[3]
A plane-wave DFT calculation with PBE-GGA was carried out for crystalline ZrNiBr2 at its relaxed geometry.

Cell lengths 4.5927, 4.5927, 3.5134 Å; angles 90.00, 90.00, 90.00 degrees
Space group P4/mmm (No. 123)
One atom of each set of equivalent atoms:
Zr  0.0000  0.0000  0.0000
Ni  0.5000  0.5000  0.0000
Br  0.0000  0.5000  0.5000

Summary:
Crystal system ... tetragonal
E_form (uncorrected) ... 0.0671 eV per atom
Total magnetization ... 0.00 μB/f.u.
N(E_F) ... 3.06 states/eV per cell
Polymorph energy (0 for the lowest one) ... 3.080 eV/f.u.



[4]
A plane-wave DFT calculation with PBE-GGA was carried out for crystalline LiMnPd3 at its relaxed geometry.

Cell lengths 8.5339, 3.9538, 8.9221 Å; angles 90.00, 92.06, 90.00 degrees
Space group C2/m (No. 12)
One atom of each set of equivalent atoms:
Li  0.1420  0.0000  0.4463
Mn  0.2458  0.0000  0.7610
Pd  0.0563  0.5000  0.6446
Pd  0.0569  0.0000  0.1590
Pd  0.1471  0.5000  0.9471

Summary:
Crystal system ... monoclinic
Total magnetization ... 4.70 μB/f.u.
N(E_F) ... 9.03 states/eV per cell
Polymorph energy (0 for the lowest one) ... 0.161 eV/f.u.



[5]
A plane-wave DFT calculation with PBE-GGA was carried out for crystalline Ga2RuCl at its relaxed geometry.

Cell lengths 6.0266, 6.0266, 11.2324 Å; angles 90.00, 90.00, 90.00 degrees
Space group I-42d (No. 122)
One atom of each set of equivalent atoms:
Ga  0.2004  0.2500  0.1250
Ru  0.0000  0.0000  0.0000
Cl  0.0000  0.0000  0.5000

Summary:
Crystal system ... tetragonal
E_form (uncorrected) ... 0.1992 eV per atom
Total magnetization ... 0.00 μB/f.u.
N(E_F) ... 11.54 states/eV per cell
Polymorph energy (0 for the lowest one) ... 0.000 eV/f.u.



[6]
A plane-wave DFT calculation with PBE-GGA was carried out for crystalline Sr8Ga3N8 at its relaxed geometry.

Cell lengths 19.1072, 5.3766, 7.7255 Å; angles 90.00, 106.92, 90.00 degrees
Space group C2/m (No. 12)
One atom of each set of equivalent atoms:
Sr  0.0362  0.0000  0.2532
Sr  0.0973  0.5000  0.9463
Sr  0.1749  0.5000  0.4845
Sr  0.1958  0.0000  0.8134
Ga  0.0000  0.5000  0.5000
Ga  0.1892  0.0000  0.2026
N  0.0268  0.5000  0.2930
N  0.1023  0.0000  0.9976
N  0.1792  0.0000  0.4413
N  0.2143  0.5000  0.8337

Summary:
Crystal system ... monoclinic
E_form (uncorrected) ... -0.6052 eV per atom
Total magnetization ... 0.54 μB/f.u.
N(E_F) ... 4.36 states/eV per cell



[7]
A plane-wave DFT calculation with PBE-GGA was carried out for crystalline Al2CuAs at its relaxed geometry.

Cell lengths 7.8431, 2.8966, 6.0283 Å; angles 90.00, 102.02, 90.00 degrees
Space group C2/m (No. 12)
One atom of each set of equivalent atoms:
Al  0.2422  0.0000  0.2027
Cu  0.0000  0.5000  0.0000
As  0.0000  0.0000  0.5000

Summary:
E_tot ... -4.031 eV per atom
Crystal system ... monoclinic
Total magnetization ... 0.00 μB/f.u.
N(E_F) ... 2.20 states/eV per cell



[8]
A plane-wave DFT calculation with PBE-GGA was carried out for crystalline TmSiIr at its relaxed geometry.

Cell lengths 6.8311, 6.8311, 5.5043 Å; angles 90.00, 90.00, 90.00 degrees
Space group P4_12_12 (No. 92)
One atom of each set of equivalent atoms:
Tm  0.2320  0.2320  0.0000
Si  0.1850  0.8150  0.7500
Ir  0.0767  0.0767  0.5000

Summary:
Crystal system ... tetragonal
E_form (uncorrected) ... -0.7309 eV per atom
Total magnetization ... 0.00 μB/f.u.
N(E_F) ... 4.41 states/eV per cell



[9]
A plane-wave DFT calculation with PBE-GGA was carried out for crystalline Rb5Sc2F12 at its relaxed geometry.

Cell lengths 15.0849, 6.5431, 9.0084 Å; angles 90.00, 106.73, 90.00 degrees
Space group C2/m (No. 12)
One atom of each set of equivalent atoms:
Rb  0.0000  0.0000  0.0000
Rb  0.1940  0.5000  0.8597
Rb  0.2027  0.5000  0.3451
Sc  0.0000  0.2480  0.5000
F  0.9997  0.0000  0.3536
F  0.0007  0.5000  0.3544
F  0.1366  0.2568  0.5666
F  0.1527  0.2582  0.0838

Summary:
Crystal system ... monoclinic
E_form (uncorrected) ... -3.1053 eV per atom
Total magnetization ... 1.07 μB/f.u.
N(E_F) ... 20.16 states/eV per cell



[10]
A plane-wave DFT calculation with PBE-GGA was carried out for crystalline SrPr2Pt9 at its relaxed geometry.

Cell lengths 5.5265, 5.5265, 26.6979 Å; angles 90.00, 90.00, 120.00 degrees
Space group R-3m (No. 166, hexagonal axes)
One atom of each set of equivalent atoms:
Sr  0.0000  0.0000  0.0000
Pr  0.0000  0.0000  0.1391
Pt  0.0000  0.0000  0.3323
Pt  0.0000  0.0000  0.5000
Pt  0.0038  0.5019  0.9156

Summary:
E_tot ... -6.306 eV per atom
Crystal system ... trigonal
Total magnetization ... 0.00 μB/f.u.
N(E_F) ... 26.58 states/eV per cell



[11]
A plane-wave DFT calculation with PBE-GGA was carried out for crystalline SrEuAlAg at its relaxed geometry.

Cell lengths 7.7526, 7.7526, 7.7526 Å; angles 90.00, 90.00, 90.00 degrees
Space group F-43m (No. 216)
One atom of each set of equivalent atoms:
Sr  0.0000  0.0000  0.0000
Eu  0.0000  0.0000  0.5000
Al  0.2500  0.2500  0.2500
Ag  0.2500  0.2500  0.7500

Summary:
E_tot ... -4.815 eV per atom
Crystal system ... cubic
Total magnetization ... 7.29 μB/f.u.
N(E_F) ... 36.49 states/eV per cell



[12]
A plane-wave DFT calculation with PBE-GGA was carried out for crystalline Ac8CoOs2 at its relaxed geometry.

Cell lengths 13.6662, 7.4157, 8.6719 Å; angles 90.00, 97.12, 90.00 degrees
Space group C2/m (No. 12)
One atom of each set of equivalent atoms:
Ac  0.0836  0.0000  0.2018
Ac  0.1372  0.2487  0.6273
Ac  0.1592  0.5000  0.0403
Co  0.0000  0.0000  0.5000
Os  0.1360  0.0000  0.8903

Summary:
E_tot ... -5.540 eV per atom
Crystal system ... monoclinic
Total magnetization ... 0.00 μB/f.u.
N(E_F) ... 17.71 states/eV per cell



> The lowest N(E_F) belongs to which entry?

Al2CuAs



> What is the N(E_F) in the twelfth record?

17.71 states/eV per cell



> N(E_F) of number 8 (TmSiIr)?

4.41 states/eV per cell



Copy entry 9 word for word.
A plane-wave DFT calculation with PBE-GGA was carried out for crystalline Rb5Sc2F12 at its relaxed geometry.

Cell lengths 15.0849, 6.5431, 9.0084 Å; angles 90.00, 106.73, 90.00 degrees
Space group C2/m (No. 12)
One atom of each set of equivalent atoms:
Rb  0.0000  0.0000  0.0000
Rb  0.1940  0.5000  0.8597
Rb  0.2027  0.5000  0.3451
Sc  0.0000  0.2480  0.5000
F  0.9997  0.0000  0.3536
F  0.0007  0.5000  0.3544
F  0.1366  0.2568  0.5666
F  0.1527  0.2582  0.0838

Summary:
Crystal system ... monoclinic
E_form (uncorrected) ... -3.1053 eV per atom
Total magnetization ... 1.07 μB/f.u.
N(E_F) ... 20.16 states/eV per cell